The following is a DFT calculation (meta-GGA SCAN) of a PBEsol-optimized structure of CaLaFeNiO6.

a = 5.3232 Å, b = 5.3141 Å, c = 9.2144 Å
α = 90.00°, β = 125.24°, γ = 90.00°
Fractional coordinates of all 20 atoms:
Ca: 0.0000 0.2146 0.0000
Ca: 0.0000 0.7854 0.5000
La: 0.4903 0.2717 0.5005
La: 0.4903 0.7283 0.0005
Fe: 0.2438 0.2504 0.7506
Fe: 0.2438 0.7496 0.2506
Ni: 0.7429 0.2520 0.2498
Ni: 0.7429 0.7480 0.7498
O: 0.0513 0.0250 0.2789
O: 0.0513 0.9750 0.7789
O: 0.4214 0.4699 0.2149
O: 0.4214 0.5301 0.7149
O: 0.4876 0.0277 0.7215
O: 0.4876 0.9723 0.2215
O: 0.5573 0.2563 0.9972
O: 0.5573 0.7437 0.4972
O: 0.9423 0.2405 0.5031
O: 0.9423 0.7595 0.0031
O: 0.9988 0.4638 0.7857
O: 0.9988 0.5362 0.2857

Calculated values
E = -1.0948 Ry per atom
ΔE_f (raw) = -2.4502 eV per atom